[1]
Here is a relaxed structure of NdNi12B6 from the Open Quantum Materials Database. Energies are from PBE-GGA.

```
NdNi12B6
1.0
4.792 -3.700 0.000
4.792 3.700 0.000
0.000 0.000 11.045
B Ni Nd
12 24 2
Direct
0.988 0.600 0.122 B
0.012 0.400 0.622 B
0.248 0.325 0.886 B
0.752 0.675 0.386 B
0.513 0.487 0.657 B
0.675 0.752 0.886 B
0.165 0.835 0.836 B
0.835 0.165 0.336 B
0.325 0.248 0.386 B
0.400 0.012 0.122 B
0.600 0.988 0.622 B
0.487 0.513 0.157 B
0.805 0.459 0.235 Ni
0.371 0.994 0.937 Ni
0.221 0.779 0.099 Ni
0.779 0.221 0.599 Ni
0.433 0.567 0.918 Ni
0.119 0.146 0.756 Ni
0.727 0.659 0.568 Ni
0.341 0.273 0.568 Ni
0.541 0.195 0.235 Ni
0.788 0.475 0.774 Ni
0.659 0.727 0.068 Ni
0.212 0.525 0.274 Ni
0.854 0.881 0.756 Ni
0.629 0.006 0.437 Ni
0.567 0.433 0.418 Ni
0.475 0.788 0.274 Ni
0.459 0.805 0.735 Ni
0.146 0.119 0.256 Ni
0.881 0.854 0.256 Ni
0.994 0.371 0.437 Ni
0.195 0.541 0.735 Ni
0.006 0.629 0.937 Ni
0.525 0.212 0.774 Ni
0.273 0.341 0.068 Ni
0.166 0.834 0.498 Nd
0.834 0.166 0.998 Nd
```

Symmetry: Cmc2_1, No. 36
M_tot, μB per atom: 0.000
DFT total energy, eV per atom: -6.27

[2]
Here is a relaxed structure of Si2Bi2Os3 from the Open Quantum Materials Database. Energies are from PBE-GGA.

```
Si2Bi2Os3
1.0
-6.661 3.600 3.600
-3.600 3.600 6.661
-3.600 6.661 3.600
Bi Os Si
2 3 2
Direct
0.004 0.004 0.004 Bi
0.495 0.495 0.495 Bi
0.889 0.889 0.889 Os
0.627 0.627 0.627 Os
0.379 0.379 0.379 Os
0.243 0.243 0.243 Si
0.737 0.737 0.737 Si
```

Symmetry: R3m, No. 160
M_tot, μB per atom: 0.003
DFT total energy, eV per atom: -6.97

[3]
Here is a relaxed structure of Na4CuAgAs2 from the Open Quantum Materials Database. Energies are from PBE-GGA.

```
Na4CuAgAs2
1.0
3.577 -4.426 0.000
3.577 4.426 0.000
-0.161 0.000 5.511
Na As Ag Cu
4 2 1 1
Direct
0.828 0.474 0.748 Na
0.526 0.172 0.252 Na
0.474 0.828 0.748 Na
0.172 0.526 0.252 Na
0.718 0.718 0.269 As
0.282 0.282 0.731 As
0.000 0.000 0.000 Ag
0.000 0.000 0.500 Cu
```

Symmetry: C2/m, No. 12
DFT total energy, eV per atom: -3.02

[4]
Here is a relaxed structure of TaZnW from the Open Quantum Materials Database. Energies are from PBE-GGA.

```
TaZnW
1.0
0.000 2.992 2.992
2.992 0.000 2.992
2.992 2.992 0.000
Ta Zn W
1 1 1
Direct
0.000 0.000 0.000 Ta
0.750 0.750 0.750 Zn
0.500 0.500 0.500 W
```

Symmetry: F-43m, No. 216
M_tot, μB per atom: 0.001
Formation enthalpy at 0 K, eV per atom: 0.876
Offset from the most stable computed form, meV per atom: 0
DFT total energy, eV per atom: -7.82

[5]
Here is a relaxed structure of KPrCoSe3 from the Open Quantum Materials Database. Energies are from PBE-GGA.

```
KPrCoSe3
1.0
8.522 -2.190 0.000
8.522 2.190 0.000
-2.098 0.000 8.312
Se Pr K Co
6 2 2 2
Direct
0.648 0.648 0.805 Se
0.000 0.000 0.500 Se
0.650 0.650 0.352 Se
0.352 0.352 0.195 Se
0.350 0.350 0.648 Se
0.500 0.500 0.000 Se
0.829 0.829 0.402 Pr
0.171 0.171 0.598 Pr
0.860 0.860 0.929 K
0.140 0.140 0.071 K
0.500 0.500 0.290 Co
0.500 0.500 0.710 Co
```

Symmetry: C2/m, No. 12
M_tot, μB per atom: 0.013
DFT total energy, eV per atom: -4.80

[6]
Here is a relaxed structure of CsMgNiSe3 from the Open Quantum Materials Database. Energies are from PBE-GGA.

```
CsMgNiSe3
1.0
-5.255 3.702 -5.576
0.599 -2.834 -2.447
-5.622 -6.762 6.456
Ni Cs Mg Se
2 2 2 6
Direct
0.944 0.750 0.108 Ni
0.056 0.250 0.892 Ni
0.499 0.250 0.728 Cs
0.501 0.750 0.272 Cs
0.007 0.750 0.624 Mg
0.993 0.250 0.376 Mg
0.124 0.250 0.127 Se
0.198 0.750 0.476 Se
0.223 0.750 0.867 Se
0.777 0.250 0.133 Se
0.802 0.250 0.524 Se
0.876 0.750 0.873 Se
```

Symmetry: P2_1/m, No. 11
M_tot, μB per atom: 0.004
Offset from the most stable computed form, meV per atom: 0
DFT total energy, eV per atom: -3.84

[7]
Here is a relaxed structure of K2NbF7 from the Open Quantum Materials Database. Energies are from PBE-GGA.

```
K2NbF7
1.0
-3.983 -3.297 -2.174
8.146 -9.060 -1.186
-1.881 -2.675 7.519
F K Nb
28 8 4
Direct
0.786 0.031 0.782 F
0.035 0.252 0.697 F
0.786 0.469 0.282 F
0.426 0.573 0.378 F
0.967 0.894 0.602 F
0.529 0.739 0.796 F
0.471 0.261 0.204 F
0.476 0.391 0.916 F
0.524 0.609 0.084 F
0.214 0.969 0.218 F
0.529 0.761 0.296 F
0.180 0.119 0.991 F
0.035 0.248 0.197 F
0.180 0.381 0.491 F
0.033 0.106 0.398 F
0.214 0.531 0.718 F
0.820 0.881 0.009 F
0.965 0.752 0.803 F
0.476 0.109 0.416 F
0.426 0.927 0.878 F
0.033 0.394 0.898 F
0.574 0.427 0.622 F
0.574 0.073 0.122 F
0.965 0.748 0.303 F
0.820 0.619 0.509 F
0.967 0.606 0.102 F
0.524 0.891 0.584 F
0.471 0.239 0.704 F
0.238 0.441 0.180 K
0.762 0.941 0.320 K
0.238 0.059 0.680 K
0.239 0.781 0.055 K
0.761 0.281 0.445 K
0.239 0.719 0.555 K
0.762 0.559 0.820 K
0.761 0.219 0.945 K
0.730 0.873 0.779 Nb
0.730 0.627 0.279 Nb
0.270 0.127 0.221 Nb
0.270 0.373 0.721 Nb
```

Symmetry: P2_1/c, No. 14
M_tot, μB per atom: 0.000
DFT total energy, eV per atom: -5.57

[8]
Here is a relaxed structure of PmSmO3 from the Open Quantum Materials Database. Energies are from PBE-GGA.

```
PmSmO3
1.0
-1.627 3.291 -0.899
-2.010 -3.199 -0.128
-1.590 0.770 5.699
O Pm Sm
3 1 1
Direct
0.000 0.000 0.000 O
0.667 0.333 0.643 O
0.333 0.667 0.354 O
0.333 0.667 0.754 Pm
0.667 0.333 0.249 Sm
```

Symmetry: P3m1, No. 156
M_tot, μB per atom: 0.000
DFT total energy, eV per atom: -8.26